Entry 1:
Here is a relaxed structure of Ag2PtClO from Alexandria. Energies are from GGA-PBE.

a b c (Å): 4.9730 4.4829 4.9730
angles (deg): 90.00 90.00 90.00
Last column: nearest neighbours and their distance in Å.
Fractional positions:
Ag1 0.5000 0.0000 0.0000  2 Cl 2.49
Ag2 0.0000 0.0000 0.5000  2 Cl 2.49
O1 0.5000 0.5000 0.5000  8 Ag 3.35, 4 Pt 3.52
Cl1 0.0000 0.0000 0.0000  2 Pt 2.24, 4 Ag 2.49
Pt1 0.0000 0.5000 0.0000  2 Cl 2.24

Results
size of the total moment	0.20	μB/atom
formation energy (no corrections)	0.98	eV per atom
N(E_F)	3.6	states/eV/f.u.
space group	P4/mmm (123)

***

Entry 2:
Here is a relaxed structure of Pu2Ag2Cl2O5 from Alexandria. Energies are from GGA-PBE.

a b c (Å): 4.1648 4.1648 12.3077
angles (deg): 99.74 99.74 90.00
Last column: nearest neighbours and their distance in Å.
Fractional positions:
Ag1 0.3208 0.3208 0.6416  5 Cl 2.78-3.01, 4 O 2.90
Ag2 0.6792 0.6792 0.3584  5 Cl 2.78-3.01, 4 O 2.90
Cl1 0.7955 0.7955 0.5909  5 Ag 2.78-3.01, 1 Pu 2.82
Cl2 0.2045 0.2045 0.4091  5 Ag 2.78-3.01, 1 Pu 2.82
O1 0.5945 0.0945 0.1889  2 Pu 2.09
O2 0.0945 0.5945 0.1889  2 Pu 2.09
O3 0.4055 0.9055 0.8111  2 Pu 2.09
O4 0.0000 0.0000 0.0000  2 Pu 2.06
O5 0.9055 0.4055 0.8111  2 Pu 2.09
Pu1 0.0864 0.0864 0.1727  5 O 2.06-2.09
Pu2 0.9136 0.9136 0.8273  5 O 2.06-2.09

Results
size of the total moment	0.55	μB/atom
formation energy (no corrections)	-1.80	eV per atom
N(E_F)	8.6	states/eV/f.u.
space group	I4/mmm (139)

***

Entry 3:
Here is a relaxed structure of RbAgCl2O from Alexandria. Energies are from GGA-PBE.

a b c (Å): 6.0290 7.4037 6.0290
angles (deg): 90.00 90.00 90.00
Last column: nearest neighbours and their distance in Å.
Fractional positions:
Rb1 0.0000 0.0000 0.0000  4 Cl 3.01
Cl1 0.0000 0.0000 0.5000  2 Rb 3.01
Cl2 0.5000 0.0000 0.0000  2 Rb 3.01
Ag1 0.0000 0.5000 0.0000  2 Rb 3.70
O1 0.5000 0.5000 0.5000  4 Ag 4.26, 8 Cl 4.77

Results
size of the total moment	0.19	μB/atom
formation energy (no corrections)	0.49	eV per atom
N(E_F)	4.9	states/eV/f.u.
space group	P4/mmm (123)

***

Entry 4:
Here is a relaxed structure of ReAg2Cl4O2 from Alexandria. Energies are from GGA-PBE.

a b c (Å): 6.0165 7.4256 7.4256
angles (deg): 56.12 60.22 60.22
Last column: nearest neighbours and their distance in Å.
Fractional positions:
Ag1 0.7235 0.2609 0.2609  1 O 2.18
Ag2 0.2765 0.7391 0.7391  1 O 2.18
Re1 0.5000 0.0000 0.0000  2 O 1.79
O1 0.8393 0.8666 0.8666  1 Re 1.79
O2 0.1607 0.1334 0.1334  1 Re 1.79
Cl1 0.3769 0.1490 0.6691  1 Re 2.40, 1 Ag 2.62
Cl2 0.6231 0.8510 0.3309  1 Re 2.40, 1 Ag 2.62
Cl3 0.6231 0.3309 0.8510  1 Re 2.40, 1 Ag 2.62
Cl4 0.3769 0.6691 0.1490  1 Re 2.40, 1 Ag 2.62

Results
size of the total moment	0.11	μB/atom
formation energy (no corrections)	-0.70	eV per atom
N(E_F)	0.3	states/eV/f.u.
space group	C2/m (12)

***

Entry 5:
Here is a relaxed structure of AgSClO4 from Alexandria. Energies are from GGA-PBE.

a b c (Å): 6.8181 6.8181 6.2278
angles (deg): 79.01 79.01 56.48
Last column: nearest neighbours and their distance in Å.
Fractional positions:
S1 0.3580 0.3580 0.2571  4 O 1.46-1.52
S2 0.6420 0.6420 0.7429  4 O 1.46-1.52
O1 0.1480 0.5152 0.1239  1 S 1.52
O2 0.2765 0.2765 0.4748  1 S 1.49
O3 0.4848 0.8520 0.8761  1 S 1.52
O4 0.4756 0.4756 0.2823  1 S 1.46
O5 0.5244 0.5244 0.7177  1 S 1.46
O6 0.8520 0.4848 0.8761  1 S 1.52
O7 0.5152 0.1480 0.1239  1 S 1.52
O8 0.7235 0.7235 0.5252  1 S 1.49
Cl1 0.9772 0.9772 0.6627  1 Cl 1.98
Cl2 0.0228 0.0228 0.3373  1 Cl 1.98
Ag1 0.6959 0.6959 0.1856  3 O 2.21-2.35
Ag2 0.3041 0.3041 0.8144  3 O 2.21-2.35

Results
size of the total moment	0.14	μB/atom
formation energy (no corrections)	-0.69	eV per atom
N(E_F)	5.5	states/eV/f.u.
space group	C2/m (12)

***

Entry 6:
Here is a relaxed structure of AgS2ClO from Alexandria. Energies are from GGA-PBE.

a b c (Å): 3.8708 3.8708 7.1724
angles (deg): 90.00 90.00 90.00
Last column: nearest neighbours and their distance in Å.
Fractional positions:
Cl1 0.0000 0.0000 0.5000  4 Ag 2.74
S1 0.0000 0.5000 0.0000  2 O 1.94
S2 0.5000 0.0000 0.0000  2 O 1.94
Ag1 0.5000 0.5000 0.5000  4 Cl 2.74
O1 0.0000 0.0000 0.0000  4 S 1.94

Results
energy relative to the lowest polymorph listed for this composition	0.00	eV per formula unit
size of the total moment	0.20	μB/atom
formation energy (no corrections)	0.43	eV per atom
N(E_F)	3.5	states/eV/f.u.
space group	P4/mmm (123)

***

Entry 7:
Here is a relaxed structure of AgS2ClO from Alexandria. Energies are from GGA-PBE.

a b c (Å): 4.9408 4.9408 4.9490
angles (deg): 90.00 90.00 90.00
Last column: nearest neighbours and their distance in Å.
Fractional positions:
S1 0.0000 0.5000 0.0000  2 Ag 2.47
S2 0.5000 0.0000 0.0000  2 Ag 2.47
Ag1 0.0000 0.0000 0.0000  4 S 2.47, 2 Cl 2.47
O1 0.5000 0.5000 0.5000  4 Cl 3.49, 8 S 3.50
Cl1 0.0000 0.0000 0.5000  2 Ag 2.47

Results
energy relative to the lowest polymorph listed for this composition	4.32	eV per formula unit
size of the total moment	0.56	μB/atom
formation energy (no corrections)	1.29	eV per atom
N(E_F)	8.0	states/eV/f.u.
space group	P4/mmm (123)

***

Entry 8:
Here is a relaxed structure of ScAg2ClO from Alexandria. Energies are from GGA-PBE.

a b c (Å): 5.6127 3.8290 5.6127
angles (deg): 90.00 90.00 90.00
Last column: nearest neighbours and their distance in Å.
Fractional positions:
Ag1 0.0000 0.0000 0.5000  2 Sc 2.81
Ag2 0.5000 0.0000 0.0000  2 Sc 2.81
Sc1 0.0000 0.0000 0.0000  2 O 1.91
O1 0.0000 0.5000 0.0000  2 Sc 1.91
Cl1 0.5000 0.5000 0.5000  8 Ag 3.40

Results
size of the total moment	0.00	μB/atom
formation energy (no corrections)	-0.44	eV per atom
N(E_F)	2.6	states/eV/f.u.
space group	P4/mmm (123)

***

Entry 9:
Here is a relaxed structure of AgSeClO2 from Alexandria. Energies are from GGA-PBE.

a b c (Å): 4.0765 6.2692 7.7419
angles (deg): 107.20 90.00 90.00
Last column: nearest neighbours and their distance in Å.
Fractional positions:
O1 0.2500 0.4343 0.1860  1 Se 1.65
O2 0.7500 0.5657 0.8140  1 Se 1.65
O3 0.7500 0.5757 0.4590  1 Se 1.85
O4 0.2500 0.4243 0.5410  1 Se 1.85
Se1 0.2500 0.6079 0.3925  1 O 1.65
Se2 0.7500 0.3921 0.6075  1 O 1.65
Cl1 0.7500 0.9312 0.2280  3 Ag 2.67-2.70
Cl2 0.2500 0.0688 0.7720  3 Ag 2.67-2.70
Ag1 0.7500 0.1891 0.0036  3 Cl 2.67-2.70, 2 O 2.69
Ag2 0.2500 0.8109 0.9964  3 Cl 2.67-2.70, 2 O 2.69

Results
size of the total moment	0.00	μB/atom
formation energy (no corrections)	-0.50	eV per atom
space group	P2_1/m (11)

***

Entry 10:
Here is a relaxed structure of AgSeCl2O from Alexandria. Energies are from GGA-PBE.

a b c (Å): 4.4705 4.6907 4.4705
angles (deg): 90.00 90.00 90.00
Last column: nearest neighbours and their distance in Å.
Fractional positions:
Cl1 0.0000 0.0000 0.5000  2 O 2.24
Cl2 0.5000 0.0000 0.0000  2 O 2.24
Ag1 0.0000 0.5000 0.0000  2 O 2.35
Se1 0.5000 0.5000 0.5000  4 Ag 3.16, 8 Cl 3.24
O1 0.0000 0.0000 0.0000  4 Cl 2.24, 2 Ag 2.35

Results
size of the total moment	0.05	μB/atom
formation energy (no corrections)	0.63	eV per atom
N(E_F)	4.6	states/eV/f.u.
space group	P4/mmm (123)

***

Entry 11:
Here is a relaxed structure of Sr2AgCl2O2 from Alexandria. Energies are from GGA-PBE.

a b c (Å): 4.2429 4.2429 8.3271
angles (deg): 104.76 104.76 90.00
Last column: nearest neighbours and their distance in Å.
Fractional positions:
Cl1 0.8116 0.8116 0.6232  1 Ag 2.93, 5 Sr 3.14-3.24
Cl2 0.1884 0.1884 0.3768  1 Ag 2.93, 5 Sr 3.14-3.24
Ag1 0.0000 0.0000 0.0000  4 O 2.12
Sr1 0.6097 0.6097 0.2195  4 O 2.72
Sr2 0.3903 0.3903 0.7805  4 O 2.72
O1 0.0000 0.5000 0.0000  2 Ag 2.12
O2 0.5000 0.0000 0.0000  2 Ag 2.12

Results
size of the total moment	0.00	μB/atom
formation energy (no corrections)	-1.89	eV per atom
N(E_F)	1.4	states/eV/f.u.
space group	I4/mmm (139)

***

Entry 12:
Here is a relaxed structure of AgTeClO2 from Alexandria. Energies are from GGA-PBE.

a b c (Å): 4.1173 6.6133 7.5902
angles (deg): 77.21 90.00 90.00
Last column: nearest neighbours and their distance in Å.
Fractional positions:
Cl1 0.2500 0.5072 0.7177  1 Ag 2.60, 1 Te 2.90
Cl2 0.7500 0.4928 0.2823  1 Ag 2.60, 1 Te 2.90
O1 0.7500 0.9793 0.3234  1 Te 1.85
O2 0.2500 0.0673 0.0627  3 Te 2.10-2.17
O3 0.7500 0.9327 0.9373  3 Te 2.10-2.17
O4 0.2500 0.0207 0.6766  1 Te 1.85
Ag1 0.2500 0.7751 0.4108  2 O 2.47, 1 Cl 2.60
Ag2 0.7500 0.2249 0.5892  2 O 2.47, 1 Cl 2.60
Te1 0.7500 0.1543 0.0970  1 O 1.85
Te2 0.2500 0.8457 0.9030  1 O 1.85

Results
size of the total moment	0.00	μB/atom
formation energy (no corrections)	-0.67	eV per atom
N(E_F)	0.0	states/eV/f.u.
space group	P2_1/m (11)